10
Lattice="-2.291 2.291 10.226 2.291 -2.291 10.226 2.291 2.291 -10.226" Properties=species:S:1:pos:R:3 comment="TlBRh3 PBE-GGA optimized geometry" n_ef_per_ev_cell=9.4 total_magnetization_mub_per_fu=0.00 formation_energy_kj_per_mol_atoms=69.0 pbc="T T T"
Tl 0.000 0.000 0.000
Tl 0.000 2.291 5.113
B 2.291 0.000 2.875
B 2.291 0.000 7.351
Rh 0.000 0.000 7.225
Rh 0.000 1.119 2.573
Rh 0.000 0.000 13.228
Rh -1.172 2.291 7.653
Rh 1.172 2.291 7.653
Rh 0.000 3.464 2.573

15
Lattice="3.905 2.255 7.742 -3.905 2.255 7.742 0.000 -4.509 7.742" Properties=species:S:1:pos:R:3 comment="HfU3Tl3S8 PBE-GGA optimized geometry" formation_energy_uncorrected_ev_per_atom=-1.134 n_ef_per_ev_cell=12.6 total_magnetization_mub_per_fu=9.00 pbc="T T T"
Hf 0.000 0.000 0.000
U -1.952 -1.127 7.742
U -1.952 1.127 15.484
U 0.000 2.255 7.742
Tl -3.905 0.000 11.613
Tl -1.952 1.127 3.871
Tl 1.952 1.127 3.871
S 0.000 -2.380 9.221
S -2.061 1.190 9.221
S -2.061 -1.190 14.005
S 0.000 0.000 6.187
S 0.000 0.000 17.040
S 2.061 1.190 9.221
S 2.061 -1.190 14.005
S 0.000 2.380 14.005

What did the first record say?
10
Lattice="-2.291 2.291 10.226 2.291 -2.291 10.226 2.291 2.291 -10.226" Properties=species:S:1:pos:R:3 comment="TlBRh3 PBE-GGA optimized geometry" n_ef_per_ev_cell=9.4 total_magnetization_mub_per_fu=0.00 formation_energy_kj_per_mol_atoms=69.0 pbc="T T T"
Tl 0.000 0.000 0.000
Tl 0.000 2.291 5.113
B 2.291 0.000 2.875
B 2.291 0.000 7.351
Rh 0.000 0.000 7.225
Rh 0.000 1.119 2.573
Rh 0.000 0.000 13.228
Rh -1.172 2.291 7.653
Rh 1.172 2.291 7.653
Rh 0.000 3.464 2.573

Copy entry 2 word for word.
15
Lattice="3.905 2.255 7.742 -3.905 2.255 7.742 0.000 -4.509 7.742" Properties=species:S:1:pos:R:3 comment="HfU3Tl3S8 PBE-GGA optimized geometry" formation_energy_uncorrected_ev_per_atom=-1.134 n_ef_per_ev_cell=12.6 total_magnetization_mub_per_fu=9.00 pbc="T T T"
Hf 0.000 0.000 0.000
U -1.952 -1.127 7.742
U -1.952 1.127 15.484
U 0.000 2.255 7.742
Tl -3.905 0.000 11.613
Tl -1.952 1.127 3.871
Tl 1.952 1.127 3.871
S 0.000 -2.380 9.221
S -2.061 1.190 9.221
S -2.061 -1.190 14.005
S 0.000 0.000 6.187
S 0.000 0.000 17.040
S 2.061 1.190 9.221
S 2.061 -1.190 14.005
S 0.000 2.380 14.005